Density functional theory data (PBE) for a relaxed structure of Ta3Ni2.

Structure (CIF):
```
data_Ta3Ni2
_chemical_formula_sum 'Ta9 Ni6'
_cell_length_a 2.8344
_cell_length_b 2.8344
_cell_length_c 33.7950
_cell_angle_alpha 90.00
_cell_angle_beta 90.00
_cell_angle_gamma 120.00
_space_group_name_H-M_alt 'R -3 m'
_space_group_IT_number 166
_space_group_name_Hall '-R 3 2"'
loop_
_atom_site_label
_atom_site_type_symbol
_atom_site_fract_x
_atom_site_fract_y
_atom_site_fract_z
Ta1 Ta 0.0000 0.0000 0.0000
Ta2 Ta 0.0000 0.0000 0.2051
Ni1 Ni 0.0000 0.0000 0.3976
```

Calculated values
- E_tot (Ha/atom) = -0.341

---

Density functional theory data (PBE) for a relaxed structure of Ho4Ga2Ge5.

Structure (CIF):
```
data_Ho4Ga2Ge5
_chemical_formula_sum 'Ho4 Ga2 Ge5'
_cell_length_a 6.9145
_cell_length_b 4.1432
_cell_length_c 8.1261
_cell_angle_alpha 90.00
_cell_angle_beta 90.04
_cell_angle_gamma 90.00
_space_group_name_H-M_alt 'P 1 2/m 1'
_space_group_IT_number 10
loop_
_space_group_symop_operation_xyz
'x,y,z'
'-x,-y,-z'
'-x,y,-z'
'x,-y,z'
loop_
_atom_site_label
_atom_site_type_symbol
_atom_site_fract_x
_atom_site_fract_y
_atom_site_fract_z
Ho1 Ho 0.2357 0.0000 0.1289
Ho2 Ho 0.2478 0.0000 0.6190
Ga1 Ga 0.0913 0.5000 0.3719
Ge1 Ge 0.1202 0.5000 0.8789
Ge2 Ge 0.4515 0.5000 0.3414
Ge3 Ge 0.5000 0.5000 0.0000
```

Calculated values
- E_tot (Ha/atom) = -0.184

---

Density functional theory data (PBE) for a relaxed structure of TlTeSN2.

Structure (CIF):
```
data_TlTeSN2
_chemical_formula_sum 'Tl1 Te1 S1 N2'
_cell_length_a 4.2468
_cell_length_b 4.2468
_cell_length_c 6.7294
_cell_angle_alpha 90.00
_cell_angle_beta 90.00
_cell_angle_gamma 90.00
_space_group_name_H-M_alt 'P 4/m m m'
_space_group_IT_number 123
_space_group_name_Hall '-P 4 2'
loop_
_atom_site_label
_atom_site_type_symbol
_atom_site_fract_x
_atom_site_fract_y
_atom_site_fract_z
Tl1 Tl 0.0000 0.0000 0.0000
Te1 Te 0.0000 0.0000 0.5000
S1 S 0.5000 0.5000 0.5000
N1 N 0.0000 0.5000 0.0000
```

Calculated values
- E_tot (Ha/atom) = -0.124
- ΔE_f (raw) (eV/atom) = 1.8800
- energy above the most stable polymorph in this dataset (meV per atom) = 730

---

Density functional theory data (PBE) for a relaxed structure of Gd3PuIr.

Structure (CIF):
```
data_Gd3PuIr
_chemical_formula_sum 'Gd3 Pu1 Ir1'
_cell_length_a 5.4693
_cell_length_b 5.4693
_cell_length_c 5.4693
_cell_angle_alpha 90.00
_cell_angle_beta 90.00
_cell_angle_gamma 90.00
_space_group_name_H-M_alt 'P m -3 m'
_space_group_IT_number 221
_space_group_name_Hall '-P 4 2 3'
loop_
_atom_site_label
_atom_site_type_symbol
_atom_site_fract_x
_atom_site_fract_y
_atom_site_fract_z
Gd1 Gd 0.0000 0.0000 0.5000
Pu1 Pu 0.5000 0.5000 0.5000
Ir1 Ir 0.0000 0.0000 0.0000
```

Calculated values
- E_tot (Ha/atom) = -0.486

---

Density functional theory data (PBE) for a relaxed structure of In2AsPt2.

Structure (CIF):
```
data_In2AsPt2
_chemical_formula_sum 'In4 As2 Pt4'
_cell_length_a 7.9037
_cell_length_b 7.9037
_cell_length_c 3.0734
_cell_angle_alpha 90.00
_cell_angle_beta 90.00
_cell_angle_gamma 90.00
_space_group_name_H-M_alt 'P 4/m b m'
_space_group_IT_number 127
_space_group_name_Hall '-P 4 2ab'
loop_
_atom_site_label
_atom_site_type_symbol
_atom_site_fract_x
_atom_site_fract_y
_atom_site_fract_z
In1 In 0.1607 0.3393 0.0000
As1 As 0.0000 0.0000 0.5000
Pt1 Pt 0.1377 0.6377 0.5000
```

Calculated values
- E_tot (Ha/atom) = -0.172
- energy above the most stable polymorph in this dataset (meV per atom) = 0

---

Density functional theory data (PBE) for a relaxed structure of Ac4Ag2Hg3.

Structure (CIF):
```
data_Ac4Ag2Hg3
_chemical_formula_sum 'Ac4 Ag2 Hg3'
_cell_length_a 5.4345
_cell_length_b 5.4345
_cell_length_c 10.9910
_cell_angle_alpha 90.00
_cell_angle_beta 90.00
_cell_angle_gamma 120.00
_space_group_name_H-M_alt 'P -3 m 1'
_space_group_IT_number 164
_space_group_name_Hall '-P 3 2"'
loop_
_atom_site_label
_atom_site_type_symbol
_atom_site_fract_x
_atom_site_fract_y
_atom_site_fract_z
Ac1 Ac 0.0000 0.0000 0.1652
Ac2 Ac 0.3333 0.6667 0.3932
Ag1 Ag 0.3333 0.6667 0.7022
Hg1 Hg 0.0000 0.0000 0.5000
Hg2 Hg 0.3333 0.6667 0.9944
```

Calculated values
- E_tot (Ha/atom) = -0.106

---

Density functional theory data (PBE) for a relaxed structure of RbHfTiB2.

Structure (CIF):
```
data_RbHfTiB2
_chemical_formula_sum 'Rb1 Hf1 Ti1 B2'
_cell_length_a 4.4766
_cell_length_b 4.4766
_cell_length_c 5.0134
_cell_angle_alpha 90.00
_cell_angle_beta 90.00
_cell_angle_gamma 90.00
_space_group_name_H-M_alt 'P 4/m m m'
_space_group_IT_number 123
_space_group_name_Hall '-P 4 2'
loop_
_atom_site_label
_atom_site_type_symbol
_atom_site_fract_x
_atom_site_fract_y
_atom_site_fract_z
Rb1 Rb 0.0000 0.0000 0.0000
Hf1 Hf 0.0000 0.0000 0.5000
Ti1 Ti 0.5000 0.5000 0.5000
B1 B 0.0000 0.5000 0.0000
```

Calculated values
- E_tot (Ha/atom) = -0.123

---

Density functional theory data (PBE) for a relaxed structure of Ni5MoPt4.

Structure (CIF):
```
data_Ni5MoPt4
_chemical_formula_sum 'Ni10 Mo2 Pt8'
_cell_length_a 13.0356
_cell_length_b 2.6897
_cell_length_c 8.3360
_cell_angle_alpha 90.00
_cell_angle_beta 109.39
_cell_angle_gamma 90.00
_space_group_name_H-M_alt 'C 1 2/m 1'
_space_group_IT_number 12
loop_
_space_group_symop_operation_xyz
'x,y,z'
'-x,-y,-z'
'-x,y,-z'
'x,-y,z'
'x+1/2,y+1/2,z'
'-x+1/2,-y+1/2,-z'
'-x+1/2,y+1/2,-z'
'x+1/2,-y+1/2,z'
loop_
_atom_site_label
_atom_site_type_symbol
_atom_site_fract_x
_atom_site_fract_y
_atom_site_fract_z
Ni1 Ni 0.0000 0.0000 0.0000
Ni2 Ni 0.1811 0.5000 0.5798
Ni3 Ni 0.2274 0.5000 0.1239
Mo1 Mo 0.0000 0.0000 0.5000
Pt1 Pt 0.0885 0.5000 0.8086
Pt2 Pt 0.1188 0.0000 0.2958
```

Calculated values
- E_tot (Ha/atom) = -0.235

---

Density functional theory data (PBE) for a relaxed structure of HoTm2ReO8.

Structure (CIF):
```
data_HoTm2ReO8
_chemical_formula_sum 'Ho2 Tm4 Re2 O16'
_cell_length_a 7.0179
_cell_length_b 7.0961
_cell_length_c 6.6738
_cell_angle_alpha 90.00
_cell_angle_beta 90.00
_cell_angle_gamma 90.00
_space_group_name_H-M_alt 'C m m m'
_space_group_IT_number 65
_space_group_name_Hall '-C 2 2'
loop_
_atom_site_label
_atom_site_type_symbol
_atom_site_fract_x
_atom_site_fract_y
_atom_site_fract_z
Ho1 Ho 0.0000 0.0000 0.0000
Tm1 Tm 0.0000 0.5000 0.2472
Re1 Re 0.0000 0.0000 0.5000
O1 O 0.0000 0.1836 0.2915
O2 O 0.1919 0.5000 0.0000
O3 O 0.2285 0.5000 0.5000
```

Calculated values
- E_tot (Ha/atom) = -0.305
- ΔE_f (raw) (eV/atom) = -2.8328

---

Density functional theory data (PBE) for a relaxed structure of PuHfTc.

Structure (CIF):
```
data_PuHfTc
_chemical_formula_sum 'Pu2 Hf2 Tc2'
_cell_length_a 3.2782
_cell_length_b 3.2782
_cell_length_c 11.3125
_cell_angle_alpha 90.00
_cell_angle_beta 90.00
_cell_angle_gamma 90.00
_space_group_name_H-M_alt 'I 4 m m'
_space_group_IT_number 107
_space_group_name_Hall 'I 4 -2'
loop_
_atom_site_label
_atom_site_type_symbol
_atom_site_fract_x
_atom_site_fract_y
_atom_site_fract_z
Pu1 Pu 0.0000 0.0000 0.0000
Hf1 Hf 0.0000 0.0000 0.2943
Tc1 Tc 0.0000 0.0000 0.6583
```

Calculated values
- E_tot (Ha/atom) = -0.427

---

Density functional theory data (PBE) for a relaxed structure of SrPmNi.

Structure (CIF):
```
data_SrPmNi
_chemical_formula_sum 'Sr2 Pm2 Ni2'
_cell_length_a 3.5989
_cell_length_b 3.5989
_cell_length_c 13.4471
_cell_angle_alpha 90.00
_cell_angle_beta 90.00
_cell_angle_gamma 90.00
_space_group_name_H-M_alt 'P 4/m m m'
_space_group_IT_number 123
_space_group_name_Hall '-P 4 2'
loop_
_atom_site_label
_atom_site_type_symbol
_atom_site_fract_x
_atom_site_fract_y
_atom_site_fract_z
Sr1 Sr 0.0000 0.0000 0.1336
Pm1 Pm 0.5000 0.5000 0.3815
Ni1 Ni 0.0000 0.0000 0.5000
Ni2 Ni 0.5000 0.5000 0.0000
```

Calculated values
- E_tot (Ha/atom) = -0.149
- energy above the most stable polymorph in this dataset (meV per atom) = 52

---

Density functional theory data (PBE) for a relaxed structure of TaCuRe.

Structure (CIF):
```
data_TaCuRe
_chemical_formula_sum 'Ta1 Cu1 Re1'
_cell_length_a 4.4711
_cell_length_b 4.4711
_cell_length_c 2.6488
_cell_angle_alpha 90.00
_cell_angle_beta 90.00
_cell_angle_gamma 120.00
_space_group_name_H-M_alt 'P 3 m 1'
_space_group_IT_number 156
loop_
_space_group_symop_operation_xyz
'x,y,z'
'-y,x-y,z'
'-x+y,-x,z'
'-y,-x,z'
'-x+y,y,z'
'x,x-y,z'
loop_
_atom_site_label
_atom_site_type_symbol
_atom_site_fract_x
_atom_site_fract_y
_atom_site_fract_z
Ta1 Ta 0.0000 0.0000 0.0000
Cu1 Cu 0.6667 0.3333 0.3383
Re1 Re 0.3333 0.6667 0.6619
```

Calculated values
- E_tot (Ha/atom) = -0.345
- energy above the most stable polymorph in this dataset (meV per atom) = 0